Ba2MgMo | SCAN | single point on PBEsol structure

Calculated values
Energy of formation = 974 meV/atom

Cell lengths 3.5341, 3.5341, 11.4934 Å; angles 81.16, 81.16, 60.00 degrees
Positions (direct):
Mg 0.5000 0.5000 0.5000
Ba 0.7394 0.7394 0.7818
Ba 0.2606 0.2606 0.2182
Mo 0.0000 0.0000 0.0000

BaMgN2 | SCAN | single point on PBEsol structure

Calculated values
ΔE_f (raw) = -0.15 eV/atom

Cell lengths 4.6277, 4.6277, 7.2193 Å; angles 108.69, 108.69, 90.00 degrees
Positions (direct):
Ba 0.2500 0.7500 0.5000
Ba 0.0000 0.0000 0.0000
N 0.5661 0.8750 0.2500
N 0.1250 0.3161 0.7500
N 0.6250 0.4339 0.7500
N 0.6839 0.3750 0.2500
Mg 0.7500 0.2500 0.5000
Mg 0.5000 0.5000 0.0000

What did the first record say?
Ba2MgMo | SCAN | single point on PBEsol structure

Calculated values
Energy of formation = 974 meV/atom

Cell lengths 3.5341, 3.5341, 11.4934 Å; angles 81.16, 81.16, 60.00 degrees
Positions (direct):
Mg 0.5000 0.5000 0.5000
Ba 0.7394 0.7394 0.7818
Ba 0.2606 0.2606 0.2182
Mo 0.0000 0.0000 0.0000

Copy entry 2 word for word.
BaMgN2 | SCAN | single point on PBEsol structure

Calculated values
ΔE_f (raw) = -0.15 eV/atom

Cell lengths 4.6277, 4.6277, 7.2193 Å; angles 108.69, 108.69, 90.00 degrees
Positions (direct):
Ba 0.2500 0.7500 0.5000
Ba 0.0000 0.0000 0.0000
N 0.5661 0.8750 0.2500
N 0.1250 0.3161 0.7500
N 0.6250 0.4339 0.7500
N 0.6839 0.3750 0.2500
Mg 0.7500 0.2500 0.5000
Mg 0.5000 0.5000 0.0000